A plane-wave DFT calculation with PBE-GGA was carried out for BaAs2Pt after structural relaxation.

a b c (Å): 5.3613 5.3613 5.3613
angles (deg): 127.50 107.61 95.09
With the nearest neighbours (Å) after each atom.
Fractional positions:
As (0.0218, 0.0218, 0.0000)  2 Pt 2.56, 2 As 2.80
As (0.8153, 0.3153, 0.5000)  1 Pt 2.45
Ba (0.5085, 0.5085, 0.0000)  5 As 3.25-3.52, 4 Pt 3.34-3.49
Pt (0.1545, 0.6545, 0.5000)  3 As 2.45-2.56

Results
Symmetry = No. 44
Crystal system = orthorhombic
Formation energy from the elements = -0.305 eV per atom
D(E_F) = 2.82 states/eV/f.u.
Total energy = -18.5 eV/cell